[1]
First-principles (GGA-PBE) data for a relaxed PmMgGe2Pd crystal, as listed in the Alexandria database.

Properties
The total magnetization comes out at 0.00 μB/f.u. Its space group is I-4m2, No. 119. As for the formation energy: -0.741 eV per atom. The crystal system is tetragonal.

POSCAR file:
```
PmMgGe2Pd
1.0
-3.150 2.238 1.592
-2.723 -2.227 -2.257
2.450 -3.705 4.569
Pm Mg Ge Pd
1 1 2 1
Cartesian
0.000 0.000 0.000
-1.818 -0.731 2.915
-3.043 -0.804 0.595
-0.380 -2.890 3.310
-1.605 -2.963 0.990
```


[2]
First-principles (GGA-PBE) data for a relaxed PmMgGePd crystal, as listed in the Alexandria database.

Properties
The total magnetization comes out at 0.00 μB/f.u. Its space group is F-43m, No. 216. As for the formation energy: -0.630 eV per atom. The crystal system is cubic.

POSCAR file:
```
PmMgGePd
1.0
4.894 0.000 0.000
2.447 4.238 0.000
2.447 1.413 3.996
Ge Mg Pd Pm
1 1 1 1
Cartesian
2.447 1.413 0.999
4.894 2.826 1.998
7.341 4.238 2.997
0.000 0.000 0.000
```


[3]
First-principles (GGA-PBE) data for a relaxed PrMg2Ge2Pd2 crystal, as listed in the Alexandria database.

Properties
The total magnetization comes out at 0.00 μB/f.u. Its space group is R-3m, No. 166. As for the formation energy: -0.687 eV per atom. The crystal system is trigonal.

POSCAR file:
```
PrMg2Ge2Pd2
1.0
4.390 0.000 0.000
2.195 3.802 0.000
2.195 1.267 8.162
Pr Mg Ge Pd
1 2 2 2
Cartesian
0.000 0.000 0.000
2.195 1.267 4.788
6.586 3.802 3.374
6.586 3.802 6.277
2.195 1.267 1.885
4.390 2.535 2.394
4.390 2.535 5.768
```


[4]
First-principles (GGA-PBE) data for a relaxed PrMgGe2Pd crystal, as listed in the Alexandria database.

Properties
The total magnetization comes out at 0.00 μB/f.u. Its space group is I-4m2, No. 119. As for the formation energy: -0.747 eV per atom. The crystal system is tetragonal.

POSCAR file:
```
PrMgGe2Pd
1.0
4.224 0.000 0.000
0.000 4.224 0.000
-2.112 -2.112 5.638
Pr Mg Ge Pd
1 1 2 1
Cartesian
0.000 0.000 0.000
2.112 0.000 2.819
2.112 2.112 1.248
0.000 0.000 4.390
0.000 2.112 2.819
```


[5]
First-principles (GGA-PBE) data for a relaxed Pr3MgGe2Pd9 crystal, as listed in the Alexandria database.

Properties
The total magnetization comes out at 0.00 μB/f.u. Its space group is P-3m1, No. 164. As for the formation energy: -0.542 eV per atom. The crystal system is trigonal.

POSCAR file:
```
Pr3MgGe2Pd9
1.0
5.832 0.000 0.000
-2.916 5.051 0.000
0.000 0.000 10.999
Pr Mg Ge Pd
3 1 2 9
Cartesian
0.000 3.367 6.669
0.000 0.000 0.000
2.916 1.684 4.330
0.000 0.000 5.499
0.000 3.367 1.776
2.916 1.684 9.223
4.416 0.818 7.527
2.916 3.415 7.527
1.416 0.818 7.527
1.500 4.233 3.472
0.000 1.636 3.472
-1.500 4.233 3.472
2.916 0.000 0.000
-1.458 2.525 0.000
1.458 2.525 0.000
```


[6]
First-principles (GGA-PBE) data for a relaxed Mg2Ge2PdPt5 crystal, as listed in the Alexandria database.

Properties
The total magnetization comes out at 0.00 μB/f.u. Its space group is P4/mbm, No. 127. As for the formation energy: -0.503 eV per atom. The crystal system is tetragonal.

POSCAR file:
```
Mg2Ge2PdPt5
1.0
-0.148 -0.397 -3.770
2.489 -8.951 0.844
-8.983 -2.440 0.610
Mg Ge Pd Pt
4 4 2 10
Cartesian
0.140 -6.413 0.669
-6.634 -4.978 0.784
-2.540 -2.327 0.345
-3.954 -9.064 1.109
-5.348 -2.723 0.497
-1.146 -8.669 0.957
-6.226 -7.774 1.062
-0.269 -3.617 0.391
0.000 0.000 0.000
-3.247 -5.696 0.727
-0.218 -2.176 -1.671
-6.424 -9.611 -0.645
-7.069 -2.790 -1.338
-2.175 -7.521 -1.032
0.427 -8.998 -0.979
-4.468 -4.266 -1.285
-4.952 -7.028 -0.975
-1.691 -4.759 -1.342
1.170 -4.674 -1.463
-4.566 -1.418 -1.580
```